# CuRe2TeH, relaxed, DFT PBE
# E_tot = -31.88 eV/cell
# M_tot = 0.00 μB/f.u.
data_CuRe2TeH
_symmetry_space_group_name_H-M 'P 1'
_symmetry_Int_Tables_number 1
_symmetry_space_group_name_Hall 'P 1'
_cell_length_a 4.369
_cell_length_b 3.391
_cell_length_c 4.369
_cell_angle_alpha 90.00
_cell_angle_beta 90.00
_cell_angle_gamma 90.00
loop_
_atom_site_label
_atom_site_fract_x
_atom_site_fract_y
_atom_site_fract_z
_atom_site_occupancy
Cu1 0.000 0.500 0.000 1
H1 0.000 0.000 0.000 1
Te1 0.500 0.500 0.500 1
Re1 0.500 0.000 0.000 1
Re2 0.000 0.000 0.500 1